## Nd2SnTe4 (PBE-GGA)

Data for crystalline Nd2SnTe4 at its relaxed geometry.

a = 8.6587 Å, b = 8.6587 Å, c = 7.9304 Å
α = 115.36°, β = 115.36°, γ = 30.30°
Closest atoms and distances in Å follow each position.
Atoms (fractional coordinates):
Nd: 0.2333 0.2333 0.2214  6 Te 3.12-3.27
Nd: 0.7667 0.7667 0.7786  6 Te 3.12-3.27
Sn: 0.5000 0.5000 0.5000  6 Te 3.20-3.24
Te: 0.1362 0.1362 0.4884  3 Nd 3.19-3.27, 2 Sn 3.24
Te: 0.3773 0.3773 0.0554  3 Nd 3.12-3.22, 1 Sn 3.20
Te: 0.6227 0.6227 0.9446  3 Nd 3.12-3.22, 1 Sn 3.20
Te: 0.8638 0.8638 0.5116  3 Nd 3.19-3.27, 2 Sn 3.24

Calculated values
**Space-group type**: C2/m (12)
**ΔE to the lowest computed polymorph**: 0.000 eV per atom
**V**: 38.41 A^3/atom
**Uncorrected formation energy**: -1062 meV/atom
**Uncorrected energy**: -0.176 hartree per atom

---

## Nd5Sn2Te2 (PBE-GGA)

Data for crystalline Nd5Sn2Te2 at its relaxed geometry.

a = 10.4274 Å, b = 10.4274 Å, c = 10.4274 Å
α = 68.00°, β = 135.16°, γ = 131.72°
Closest atoms and distances in Å follow each position.
Atoms (fractional coordinates):
Nd: 0.1174 0.0198 0.5976  2 Te 3.21-3.25, 2 Sn 3.29
Nd: 0.2110 0.0579 0.2689  2 Te 3.08-3.14, 2 Sn 3.20-3.24
Nd: 0.2110 0.4421 0.6531  2 Te 3.08-3.14, 2 Sn 3.20-3.24
Nd: 0.4222 0.5198 0.4024  2 Te 3.21-3.25, 2 Sn 3.29
Nd: 0.4534 0.7665 0.9977  2 Sn 3.08-3.18, 3 Te 3.11-3.43, 1 Nd 3.27
Nd: 0.4534 0.9557 0.1869  2 Sn 3.08-3.18, 3 Te 3.11-3.43, 1 Nd 3.27
Nd: 0.7688 0.2665 0.8131  2 Sn 3.08-3.18, 3 Te 3.11-3.43, 1 Nd 3.27
Nd: 0.7688 0.4557 0.0023  2 Sn 3.08-3.18, 3 Te 3.11-3.43, 1 Nd 3.27
Nd: 0.7890 0.5579 0.3469  2 Te 3.08-3.14, 2 Sn 3.20-3.24
Nd: 0.7890 0.9421 0.7311  2 Te 3.08-3.14, 2 Sn 3.20-3.24
Sn: 0.2434 0.3689 0.0393  1 Sn 2.93, 4 Nd 3.08-3.24
Sn: 0.2434 0.7041 0.3745  1 Sn 2.93, 4 Nd 3.08-3.24
Sn: 0.3296 0.2041 0.9607  1 Sn 2.93, 4 Nd 3.08-3.24
Sn: 0.3296 0.8689 0.6255  1 Sn 2.93, 4 Nd 3.08-3.24
Te: 0.7215 0.2215 0.5000  6 Nd 3.08-3.14
Te: 0.7215 0.7215 0.0000  6 Nd 3.08-3.14
Te: 0.9044 0.1742 0.2302  6 Nd 3.21-3.43
Te: 0.9440 0.6742 0.7698  6 Nd 3.21-3.43

Calculated values
**Space-group type**: Ima2 (46)
**ΔE to the lowest computed polymorph**: 0.217 eV per atom
**V**: 32.58 A^3/atom
**Uncorrected formation energy**: -838 meV/atom
**Fermi-level density of states**: 0.66 states/eV per atom
**Uncorrected energy**: -0.186 hartree per atom

---

## Nd3Sn2Te (PBE-GGA)

Data for crystalline Nd3Sn2Te at its relaxed geometry.

a = 7.8926 Å, b = 7.8926 Å, c = 7.8926 Å
α = 147.13°, β = 132.20°, γ = 59.23°
Closest atoms and distances in Å follow each position.
Atoms (fractional coordinates):
Nd: 0.0000 0.0000 0.0000  4 Sn 3.17, 2 Te 3.20
Nd: 0.3331 0.3331 0.0000  4 Sn 3.20-3.22, 2 Te 3.20
Nd: 0.6669 0.6669 0.0000  4 Sn 3.20-3.22, 2 Te 3.20
Sn: 0.1642 0.6642 0.5000  6 Nd 3.17-3.22
Sn: 0.8358 0.3358 0.5000  6 Nd 3.17-3.22
Te: 0.5000 0.0000 0.5000  6 Nd 3.20

Calculated values
**Space-group type**: Immm (71)
**V**: 32.66 A^3/atom
**Uncorrected formation energy**: -957 meV/atom
**Fermi-level density of states**: 0.53 states/eV per atom
**Uncorrected energy**: -0.191 hartree per atom